Density functional theory data (GGA-PBE) for a relaxed structure of CoPd4.

Output
The calculation puts the calculated total energy at -5.58 eV per atom. The formation energy is -0.004 eV per atom.

Cell lengths 2.7444, 2.7444, 9.8699 Å; angles 97.99, 97.99, 90.00 degrees
Site moments in Bohr magnetons follow the coordinates.
Atoms (fractional coordinates):
Pd: 0.8030 0.8030 0.6059  0.22
Pd: 0.5909 0.5909 0.1817  0.40
Pd: 0.1970 0.1970 0.3941  0.22
Pd: 0.4091 0.4091 0.8183  0.40
Co: 0.0000 0.0000 0.0000  2.08